Density functional theory data (PBE+U) for MnZn2AsO6 after structural relaxation.

a = 5.038 Å, b = 5.168 Å, c = 5.291 Å
α = 62.74°, β = 89.85°, γ = 61.81°
Space group P1 (No. 1)
Unique sites:
Mn 0.000 0.000 0.000 [1 per cell]
Zn 0.217 0.557 0.650 [1 per cell]
Zn 0.738 0.531 0.173 [1 per cell]
As 0.507 0.983 0.517 [1 per cell]
O 0.147 0.085 0.293 [1 per cell]
O 0.279 0.098 0.776 [1 per cell]
O 0.416 0.424 0.318 [1 per cell]
O 0.605 0.536 0.769 [1 per cell]
O 0.771 0.837 0.295 [1 per cell]
O 0.878 0.829 0.790 [1 per cell]

Output
calculated total energy: -5.78 eV/atom